16
Lattice="4.573 0.000 0.000 0.000 6.429 0.000 0.000 0.000 12.858" Properties=species:S:1:pos:R:3 comment="Ho2ZnIn5, relaxed, DFT PBE-GGA" formation_energy_ev_per_atom=-0.372 total_energy_ev_per_fu=-27.1 n_ef_per_ev_atom=0.502 pbc="T T T"
Ho 2.287 1.614 8.039
Ho 2.287 4.815 4.819
Ho 2.287 1.600 1.610
Ho 2.287 4.828 11.248
Zn 0.000 0.000 6.429
Zn 0.000 3.214 0.000
In 0.000 0.000 0.000
In 0.000 3.214 6.429
In 0.000 3.216 9.704
In 0.000 3.213 3.153
In 0.000 6.427 3.275
In 0.000 0.002 9.582
In 2.287 1.657 11.308
In 2.287 4.772 1.550
In 2.287 1.558 4.879
In 2.287 4.871 7.979